{
  "formula": "Co2SiBr",
  "functional": "PBE-GGA",
  "state": "optimized geometry",
  "e_form_raw_kj_per_mol_fu": 35,
  "magnetic_moment_mub_per_atom": 0.23,
  "de_polymorph_mev_per_atom": 37,
  "e_tot_ev_per_cell": -20.946,
  "lattice": [[3.539, 0.006, -0.026], [1.763, 3.069, -0.026], [1.816, 1.054, 5.663]],
  "species": ["Br", "Co", "Co", "Si"],
  "fractional_positions": [[0.250, 0.250, 0.250], [0.029, 0.029, 0.912], [0.471, 0.471, 0.588], [0.750, 0.750, 0.750]]
}